# 1
{"formula": "Ta6Ru3W", "functional": "PBE-GGA", "state": "optimized geometry", "mass_density_g_cm3": 15.8, "energy_ev_per_cell": -229.8, "lattice_angstrom": [[7.8716, 0.0000, 0.0000], [0.0000, 4.5379, 0.0000], [-2.5967, 0.0000, 9.2830]], "species": ["Ta", "Ta", "Ta", "Ta", "Ta", "Ta", "Ta", "Ta", "Ta", "Ta", "Ta", "Ta", "Ru", "Ru", "Ru", "Ru", "Ru", "Ru", "W", "W"], "frac_coords": [[0.0484, 0.2500, 0.3997], [0.1486, 0.7500, 0.1992], [0.2516, 0.2500, 0.9999], [0.3478, 0.2500, 0.3026], [0.3504, 0.7500, 0.8006], [0.4483, 0.2500, 0.6010], [0.5517, 0.7500, 0.3990], [0.6496, 0.2500, 0.1994], [0.6522, 0.7500, 0.6974], [0.7484, 0.7500, 0.0001], [0.8514, 0.2500, 0.8008], [0.9516, 0.7500, 0.6003], [0.0508, 0.7500, 0.8990], [0.1450, 0.2500, 0.6985], [0.2426, 0.7500, 0.5021], [0.7574, 0.2500, 0.4979], [0.8550, 0.7500, 0.3015], [0.9492, 0.2500, 0.1010], [0.4505, 0.7500, 0.1013], [0.5495, 0.2500, 0.8987]]}


# 2
{"formula": "Ta2RuW", "functional": "PBE-GGA", "state": "optimized geometry", "mass_density_g_cm3": 16.2, "energy_ev_per_cell": -46.4, "lattice_angstrom": [[2.8408, 0.0000, 0.0000], [0.0000, 4.5316, 0.0000], [-1.0025, 0.0000, 5.1414]], "species": ["Ta", "Ta", "Ru", "W"], "frac_coords": [[0.0000, 0.0000, 0.0000], [0.2656, 0.5000, 0.7388], [0.5075, 0.0000, 0.4977], [0.7614, 0.5000, 0.2386]]}